A geometry-optimized MnGePb2O5 structure, computed with PBE+U.

a b c (Å): 3.266 15.147 11.628
angles (deg): 90.00 90.00 90.00
Space group Cmc2_1 (No. 36)
One atom of each set of equivalent atoms:
Mn: 0.000 0.193 0.000
Ge: 0.000 0.464 0.392
Pb: 0.000 0.135 0.613
Pb: 0.000 0.154 0.281
O: 0.000 0.016 0.970
O: 0.000 0.295 0.629
O: 0.000 0.333 0.982
O: 0.000 0.348 0.384
O: 0.000 0.471 0.768

total DFT energy (no corrections)	-225.24	eV per cell
calculated volume	575	Å³ per cell